Record 1
Density functional theory data (GGA-PBE) for LaMgTl after structural relaxation.

abc: 5.1107 6.5407 6.5790
angles: 111.29 99.02 112.94
Last column: nearest neighbours and their distance in Å.
Fractional positions:
La  0.2041  0.3420  0.2284  4 Tl 3.28-3.42, 4 Mg 3.46-3.64, 1 La 3.54
La  0.7959  0.6580  0.7716  4 Tl 3.28-3.42, 4 Mg 3.46-3.64, 1 La 3.54
Mg  0.4881  0.0567  0.7784  3 Tl 2.98-3.16, 1 Mg 3.26
Mg  0.5119  0.9433  0.2216  3 Tl 2.98-3.16, 1 Mg 3.26
Tl  0.0679  0.2682  0.6936  3 Mg 2.98-3.16, 1 Tl 3.22, 2 La 3.28-3.29
Tl  0.9321  0.7318  0.3064  3 Mg 2.98-3.16, 1 Tl 3.22, 2 La 3.28-3.29

Formation energy from the elements, eV/atom: -0.22
Final energy, eV per formula unit: -9.538
V, Å³ per cell: 176.9
DOS(E_F), states/eV/f.u.: 1.89
Space-group type: No. 2



Record 2
Density functional theory data (GGA-PBE) for LaMgTl2 after structural relaxation.

abc: 10.7197 10.7197 10.7197
angles: 18.95 18.95 18.95
Last column: nearest neighbours and their distance in Å.
Fractional positions:
La  0.0000  0.0000  0.0000  6 Tl 3.52, 6 La 3.53
Mg  0.5000  0.5000  0.5000  6 Tl 3.15
Tl  0.2426  0.2426  0.2426  3 Mg 3.15, 3 La 3.52
Tl  0.7574  0.7574  0.7574  3 Mg 3.15, 3 La 3.52

Formation energy from the elements, eV/atom: -0.12
Final energy, eV per formula unit: -11.736
V, Å³ per cell: 113.5
DOS(E_F), states/eV/f.u.: 3.22
Space-group type: No. 166
Energy relative to the lowest polymorph listed for this composition, kJ/mol of atoms: 18.60



Record 3
Density functional theory data (GGA-PBE) for LaMg3Tl4 after structural relaxation.

abc: 5.1409 5.1409 7.9591
angles: 90.00 90.00 90.00
Last column: nearest neighbours and their distance in Å.
Fractional positions:
La  0.0000  0.0000  0.0000  8 Tl 3.35, 4 Mg 3.64
Mg  0.0000  0.0000  0.5000  8 Tl 3.16
Mg  0.5000  0.5000  0.0000  8 Tl 3.35, 4 La 3.64
Mg  0.5000  0.5000  0.5000  8 Tl 3.16
Tl  0.0000  0.5000  0.2693  6 Mg 3.16-3.35, 2 La 3.35
Tl  0.0000  0.5000  0.7307  6 Mg 3.16-3.35, 2 La 3.35
Tl  0.5000  0.0000  0.2693  6 Mg 3.16-3.35, 2 La 3.35
Tl  0.5000  0.0000  0.7307  6 Mg 3.16-3.35, 2 La 3.35

Formation energy from the elements, eV/atom: -0.18
Final energy, eV per formula unit: -20.656
V, Å³ per cell: 210.4
DOS(E_F), states/eV/f.u.: 2.69
Space-group type: No. 123



Record 4
Density functional theory data (GGA-PBE) for LaMg3Tl2 after structural relaxation.

abc: 9.1475 9.1475 7.9286
angles: 111.83 111.83 31.03
Last column: nearest neighbours and their distance in Å.
Fractional positions:
La  0.1211  0.1211  0.1856  7 Tl 3.39-3.68, 6 Mg 3.50-3.78
La  0.8789  0.8789  0.8144  7 Tl 3.39-3.68, 6 Mg 3.50-3.78
Mg  0.0693  0.0693  0.6996  3 Tl 2.92-3.00, 1 Mg 3.16
Mg  0.3041  0.3041  0.0797  2 Tl 2.94-2.96, 3 Mg 3.01-3.06
Mg  0.3688  0.3688  0.4910  4 Tl 2.91-3.22, 1 Mg 3.01
Mg  0.6312  0.6312  0.5090  4 Tl 2.91-3.22, 1 Mg 3.01
Mg  0.6959  0.6959  0.9203  2 Tl 2.94-2.96, 3 Mg 3.01-3.06
Mg  0.9307  0.9307  0.3004  3 Tl 2.92-3.00, 1 Mg 3.16
Tl  0.2347  0.2347  0.6744  5 Mg 2.96-3.22
Tl  0.4829  0.4829  0.1758  4 Mg 2.91-2.94, 1 Tl 3.07
Tl  0.5171  0.5171  0.8242  4 Mg 2.91-2.94, 1 Tl 3.07
Tl  0.7653  0.7653  0.3256  5 Mg 2.96-3.22

Formation energy from the elements, eV/atom: -0.21
Final energy, eV per formula unit: -15.714
V, Å³ per cell: 315.5
DOS(E_F), states/eV/f.u.: 2.54
Space-group type: No. 12



Record 5
Density functional theory data (GGA-PBE) for LaMgTl2 after structural relaxation.

abc: 3.7164 3.7164 7.9319
angles: 90.00 90.00 90.00
Last column: nearest neighbours and their distance in Å.
Fractional positions:
La  0.0000  0.0000  0.0000  8 Tl 3.44, 4 La 3.72
Mg  0.0000  0.0000  0.5000  8 Tl 3.16
Tl  0.5000  0.5000  0.2798  4 Mg 3.16, 4 La 3.44, 1 Tl 3.49
Tl  0.5000  0.5000  0.7202  4 Mg 3.16, 4 La 3.44, 1 Tl 3.49

Formation energy from the elements, eV/atom: -0.26
Final energy, eV per formula unit: -12.300
V, Å³ per cell: 109.6
DOS(E_F), states/eV/f.u.: 2.62
Space-group type: No. 123
Energy relative to the lowest polymorph listed for this composition, kJ/mol of atoms: 4.98



Record 6
Density functional theory data (GGA-PBE) for LaMgTl after structural relaxation.

abc: 5.0059 7.4788 7.4788
angles: 37.71 90.00 90.00
Last column: nearest neighbours and their distance in Å.
Fractional positions:
La  0.0000  0.0000  0.0000  4 Tl 3.32-3.50, 6 Mg 3.38-3.49, 2 La 3.51
La  0.5000  0.1737  0.1737  4 Mg 3.37-3.61, 6 Tl 3.43-3.48, 2 La 3.51
Mg  0.5000  0.4841  0.4841  2 Mg 3.17, 2 Tl 3.23, 4 La 3.49
Mg  0.5000  0.8391  0.8391  2 Mg 3.17, 4 La 3.37-3.38, 6 Tl 3.38-3.48
Tl  0.0000  0.3395  0.3395  6 Mg 3.23-3.48, 2 Tl 3.32, 4 La 3.32-3.43
Tl  0.0000  0.6792  0.6792  2 Tl 3.32, 2 Mg 3.38, 6 La 3.48-3.50

Formation energy from the elements, eV/atom: -0.18
Final energy, eV per formula unit: -9.442
V, Å³ per cell: 171.3
DOS(E_F), states/eV/f.u.: 1.12
Space-group type: No. 38